[1]
This record from the Alexandria database describes a relaxed Rb2Li3BP4O14 crystal. The functional is PBE.

```
Rb2Li3BP4O14
1.0
7.207 0.000 0.000
0.000 14.100 0.049
0.000 -6.734 12.388
B O Rb Li P
4 56 8 12 16
Direct
0.500 0.620 0.380
0.500 0.380 0.620
0.000 0.880 0.120
0.000 0.120 0.880
0.936 0.447 0.786
0.481 0.498 0.666
0.250 0.200 0.700
0.281 0.632 0.818
0.719 0.182 0.368
0.634 0.338 0.338
0.750 0.800 0.300
0.981 0.002 0.834
0.219 0.132 0.318
0.134 0.511 0.633
0.019 0.998 0.166
0.436 0.714 0.053
0.833 0.166 0.856
0.564 0.286 0.947
0.604 0.486 0.869
0.604 0.869 0.486
0.019 0.166 0.998
0.104 0.014 0.631
0.064 0.553 0.214
0.866 0.838 0.838
0.250 0.700 0.200
0.134 0.162 0.162
0.167 0.834 0.144
0.104 0.631 0.014
0.981 0.834 0.002
0.896 0.369 0.986
0.333 0.644 0.334
0.366 0.011 0.133
0.634 0.989 0.867
0.750 0.300 0.800
0.519 0.334 0.502
0.064 0.214 0.553
0.366 0.133 0.011
0.281 0.818 0.632
0.781 0.682 0.868
0.519 0.502 0.334
0.396 0.131 0.514
0.936 0.786 0.447
0.667 0.666 0.356
0.396 0.514 0.131
0.634 0.867 0.989
0.896 0.986 0.369
0.134 0.633 0.511
0.667 0.356 0.666
0.866 0.367 0.489
0.219 0.318 0.132
0.781 0.868 0.682
0.719 0.368 0.182
0.167 0.144 0.834
0.366 0.662 0.662
0.333 0.334 0.644
0.436 0.053 0.714
0.481 0.666 0.498
0.564 0.947 0.286
0.833 0.856 0.166
0.866 0.489 0.367
0.800 0.614 0.614
0.700 0.114 0.114
0.300 0.886 0.886
0.200 0.386 0.386
0.250 0.403 0.903
0.250 0.903 0.403
0.750 0.597 0.097
0.750 0.097 0.597
0.978 0.132 0.398
0.022 0.602 0.868
0.978 0.398 0.132
0.000 0.381 0.619
0.478 0.102 0.368
0.022 0.868 0.602
0.000 0.619 0.381
0.500 0.881 0.119
0.478 0.368 0.102
0.500 0.119 0.881
0.522 0.632 0.898
0.522 0.898 0.632
0.199 0.071 0.196
0.239 0.091 0.713
0.301 0.571 0.696
0.761 0.909 0.287
0.761 0.287 0.909
0.199 0.196 0.071
0.801 0.929 0.804
0.739 0.787 0.409
0.261 0.591 0.213
0.739 0.409 0.787
0.801 0.804 0.929
0.699 0.304 0.429
0.261 0.213 0.591
0.699 0.429 0.304
0.239 0.713 0.091
0.301 0.696 0.571
```

Summary:
total moment: 0.000 μB per formula unit
symmetry: Cmce, No. 64
uncorrected formation energy: -2.331 eV per atom

=====

[2]
This record from the Alexandria database describes a relaxed Li4PaB3O12 crystal. The functional is PBE.

```
Li4PaB3O12
1.0
-2.253 0.419 5.621
-4.564 -0.274 -3.994
3.389 -5.016 -0.453
O Li B Pa
12 4 3 1
Direct
0.809 0.670 0.139
0.191 0.330 0.861
0.330 0.139 0.469
0.861 0.191 0.330
0.330 0.861 0.191
0.861 0.531 0.670
0.670 0.139 0.809
0.469 0.330 0.139
0.139 0.809 0.670
0.139 0.469 0.330
0.531 0.670 0.861
0.670 0.861 0.531
0.500 0.500 0.500
0.000 0.500 0.000
0.000 0.000 0.500
0.500 0.000 0.000
0.000 0.500 0.500
0.500 0.500 0.000
0.500 0.000 0.500
0.000 0.000 0.000
```

Summary:
total moment: 6.032 μB per formula unit
symmetry: Im-3, No. 204
uncorrected formation energy: -1.497 eV per atom

=====

[3]
This record from the Alexandria database describes a relaxed LiPaBO5 crystal. The functional is PBE.

```
LiPaBO5
1.0
5.484 0.663 -0.175
-0.966 5.439 -0.175
-2.110 -2.850 7.206
O B Pa Li
10 2 2 2
Direct
0.103 0.897 0.250
0.897 0.103 0.750
0.281 0.789 0.619
0.637 0.712 0.860
0.363 0.288 0.140
0.712 0.637 0.360
0.211 0.719 0.881
0.719 0.211 0.381
0.789 0.281 0.119
0.288 0.363 0.640
0.648 0.352 0.250
0.352 0.648 0.750
0.000 0.000 0.500
0.000 0.000 0.000
0.657 0.343 0.750
0.343 0.657 0.250
```

Summary:
total moment: 1.046 μB per formula unit
symmetry: C2/c, No. 15
uncorrected formation energy: -2.584 eV per atom

=====

[4]
This record from the Alexandria database describes a relaxed LiBPbO4 crystal. The functional is PBE.

```
LiBPbO4
1.0
5.567 0.000 0.000
2.784 5.054 -0.346
2.784 1.210 4.919
O Li Pb B
8 2 2 2
Direct
0.718 0.335 0.228
0.282 0.272 0.165
0.733 0.243 0.743
0.282 0.665 0.772
0.267 0.757 0.257
0.718 0.728 0.835
0.281 0.243 0.743
0.719 0.757 0.257
0.000 0.000 0.500
0.500 0.000 0.500
0.000 0.500 0.500
0.000 0.000 0.000
0.633 0.617 0.117
0.367 0.383 0.883
```

Summary:
total moment: 0.000 μB per formula unit
symmetry: Imma, No. 74
uncorrected formation energy: -1.405 eV per atom

=====

[5]
This record from the Alexandria database describes a relaxed LiB2Pb2O6 crystal. The functional is PBE.

```
LiB2Pb2O6
1.0
5.224 0.000 0.000
2.612 4.524 0.000
2.612 1.508 5.484
Li Pb O B
1 2 6 2
Direct
0.000 0.000 0.000
0.218 0.218 0.346
0.782 0.782 0.654
0.264 0.264 0.747
0.264 0.724 0.747
0.724 0.264 0.747
0.736 0.276 0.253
0.276 0.736 0.253
0.736 0.736 0.253
0.582 0.582 0.254
0.418 0.418 0.746
```

Summary:
total moment: 0.247 μB per formula unit
symmetry: R-3m, No. 166
uncorrected formation energy: -1.721 eV per atom

=====

[6]
This record from the Alexandria database describes a relaxed Li2B2PdO6 crystal. The functional is PBE.

```
Li2B2PdO6
1.0
4.826 0.000 0.000
-2.413 4.180 0.000
0.000 0.000 5.872
O Pd B Li
6 1 2 2
Direct
0.689 0.630 0.202
0.630 0.941 0.798
0.941 0.311 0.202
0.059 0.689 0.798
0.370 0.059 0.202
0.311 0.370 0.798
0.000 0.000 0.000
0.667 0.333 0.190
0.333 0.667 0.810
0.667 0.333 0.697
0.333 0.667 0.303
```

Summary:
total moment: 0.000 μB per formula unit
symmetry: P-3, No. 147
uncorrected formation energy: -1.754 eV per atom

=====

[7]
This record from the Alexandria database describes a relaxed Li2BPdO4 crystal. The functional is PBE.

```
Li2BPdO4
1.0
4.570 0.235 0.360
-1.734 4.234 -0.360
-1.734 -2.034 3.731
O Li Pd B
4 2 1 1
Direct
0.313 0.832 0.829
0.687 0.515 0.518
0.997 0.482 0.168
0.003 0.171 0.485
0.500 0.750 0.250
0.000 0.000 0.000
0.500 0.250 0.750
0.000 0.500 0.500
```

Summary:
total moment: 1.057 μB per formula unit
symmetry: I-4, No. 82
uncorrected formation energy: -1.530 eV per atom

=====

[8]
This record from the Alexandria database describes a relaxed LiPm2B2O6 crystal. The functional is PBE.

```
LiPm2B2O6
1.0
-0.762 2.394 -4.502
0.432 -5.136 0.148
-7.018 -0.564 0.887
B Li O Pm
2 1 6 2
Direct
0.667 0.333 0.810
0.333 0.667 0.190
0.000 0.000 0.000
0.635 0.760 0.182
0.240 0.875 0.182
0.875 0.635 0.818
0.365 0.240 0.818
0.760 0.125 0.818
0.125 0.365 0.182
0.667 0.333 0.219
0.333 0.667 0.781
```

Summary:
total moment: 0.000 μB per formula unit
symmetry: P-3, No. 147
uncorrected formation energy: -2.534 eV per atom